No. 1
Here is GaSnAuS2 after structural relaxation from Alexandria via LeMat-Bulk. Energies are from PBE.

a b c (Å): 5.065 5.065 5.307
angles (deg): 90.00 90.00 90.00
Space group P4/mmm (No. 123)
Unique sites:
Ga  0.000  0.000  0.000 [1 per cell]
Sn  0.500  0.500  0.500 [1 per cell]
Au  0.500  0.500  0.000 [1 per cell]
S  0.000  0.500  0.500 [2 per cell]

=====

No. 2
Here is GaTcAuS2 after structural relaxation from Alexandria via LeMat-Bulk. Energies are from PBE.

a b c (Å): 4.720 4.720 4.897
angles (deg): 90.00 90.00 90.00
Space group P4/mmm (No. 123)
Unique sites:
Ga  0.000  0.000  0.000 [1 per cell]
Tc  0.500  0.500  0.500 [1 per cell]
Au  0.000  0.000  0.500 [1 per cell]
S  0.000  0.500  0.000 [2 per cell]

=====

No. 3
Here is GaTeAuS after structural relaxation from Alexandria via LeMat-Bulk. Energies are from PBE.

a b c (Å): 3.6411 3.6411 8.5936
angles (deg): 90.00 90.00 120.00
Space group P3m1 (No. 156)
Unique sites:
Ga  0.0000  0.0000  0.0000 [1 per cell]
Te  0.3333  0.6667  0.5042 [1 per cell]
Au  0.0000  0.0000  0.2893 [1 per cell]
S  0.6667  0.3333  0.8692 [1 per cell]

=====

No. 4
Here is GaTe2AuS after structural relaxation from Alexandria via LeMat-Bulk. Energies are from PBE.

a b c (Å): 5.403 5.403 4.786
angles (deg): 90.00 90.00 90.00
Space group P4/mmm (No. 123)
Unique sites:
Ga  0.000  0.000  0.000 [1 per cell]
Te  0.000  0.500  0.000 [2 per cell]
Au  0.000  0.000  0.500 [1 per cell]
S  0.500  0.500  0.500 [1 per cell]

=====

No. 5
Here is Ga2TeAuS6 after structural relaxation from Alexandria via LeMat-Bulk. Energies are from PBE.

a b c (Å): 12.170 10.815 7.038
angles (deg): 90.00 100.56 90.00
Space group C2/c (No. 15)
Unique sites:
Ga  0.188  0.086  0.228 [8 per cell]
Te  0.000  0.241  0.750 [4 per cell]
Au  0.000  0.404  0.250 [4 per cell]
S  0.113  0.416  0.658 [8 per cell]
S  0.131  0.276  0.101 [8 per cell]
S  0.136  0.077  0.528 [8 per cell]

=====

No. 6
Here is ZnGaAu2S after structural relaxation from Alexandria via LeMat-Bulk. Energies are from PBE.

a b c (Å): 5.000 5.000 4.643
angles (deg): 90.00 90.00 90.00
Space group P4/mmm (No. 123)
Unique sites:
Zn  0.000  0.000  0.000 [1 per cell]
Ga  0.500  0.500  0.500 [1 per cell]
Au  0.000  0.500  0.500 [2 per cell]
S  0.500  0.500  0.000 [1 per cell]

=====

No. 7
Here is Ga2SbAu after structural relaxation from Alexandria via LeMat-Bulk. Energies are from PBE.

a b c (Å): 4.1605 4.1605 17.9082
angles (deg): 90.00 90.00 120.00
Space group R3m (No. 160, hexagonal axes)
Unique sites:
Ga  0.0000  0.0000  0.0000 [3 per cell]
Ga  0.0000  0.0000  0.1898 [3 per cell]
Sb  0.0000  0.0000  0.4357 [3 per cell]
Au  0.0000  0.0000  0.6005 [3 per cell]

=====

No. 8
Here is GaSb2Au after structural relaxation from Alexandria via LeMat-Bulk. Energies are from PBE.

a b c (Å): 6.271 6.271 12.255
angles (deg): 90.00 90.00 90.00
Space group I-42d (No. 122)
Unique sites:
Ga  0.000  0.000  0.000 [4 per cell]
Sb  0.249  0.250  0.625 [8 per cell]
Au  0.000  0.000  0.500 [4 per cell]

=====

No. 9
Here is GaSb2Au8 after structural relaxation from Alexandria via LeMat-Bulk. Energies are from PBE.

a b c (Å): 17.950 3.913 6.666
angles (deg): 90.00 95.86 90.00
Space group C2/m (No. 12)
Unique sites:
Ga  0.000  0.000  0.000 [2 per cell]
Sb  0.165  0.500  0.878 [4 per cell]
Au  0.013  0.500  0.742 [4 per cell]
Au  0.079  0.000  0.478 [4 per cell]
Au  0.172  0.000  0.163 [4 per cell]
Au  0.194  0.500  0.477 [4 per cell]

=====

No. 10
Here is GaSbAu2 after structural relaxation from Alexandria via LeMat-Bulk. Energies are from PBE.

a b c (Å): 4.558 4.558 3.958
angles (deg): 90.00 90.00 90.00
Space group P4/mmm (No. 123)
Unique sites:
Ga  0.000  0.000  0.000 [1 per cell]
Sb  0.500  0.500  0.000 [1 per cell]
Au  0.000  0.500  0.500 [2 per cell]

polymorph energy (0 for the lowest one)	145.8	meV/atom

=====

No. 11
Here is GaSb2Au6 after structural relaxation from Alexandria via LeMat-Bulk. Energies are from PBE.

a b c (Å): 13.511 3.796 8.440
angles (deg): 90.00 110.45 90.00
Space group C2/m (No. 12)
Unique sites:
Ga  0.000  0.000  0.000 [2 per cell]
Sb  0.129  0.000  0.434 [4 per cell]
Au  0.014  0.500  0.763 [4 per cell]
Au  0.171  0.000  0.929 [4 per cell]
Au  0.217  0.500  0.706 [4 per cell]

=====

No. 12
Here is Ga3SbAu3 after structural relaxation from Alexandria via LeMat-Bulk. Energies are from PBE.

a b c (Å): 7.157 7.157 7.157
angles (deg): 90.00 90.00 90.00
Space group Pm-3n (No. 223)
Unique sites:
Ga  0.000  0.250  0.500 [6 per cell]
Sb  0.000  0.000  0.000 [2 per cell]
Au  0.000  0.500  0.250 [6 per cell]

=====

no.,E_form (uncorrected) (eV/atom),spin magnetization (μB per atom)
1,0.27,0.00
2,0.90,0.94
3,-0.13,0.00
4,0.69,0.00
5,-0.19,0.00
6,0.45,0.00
7,-0.05,0.00
8,0.00,0.00
9,0.00,0.00
10,0.03,0.00
11,-0.01,0.00
12,0.21,0.12